Density functional theory data (GGA-PBE) for an optimized crystal structure of CeTa2TiO8.

Cell: 4.8999 4.8999 6.4107 Å, 90.00 90.00 91.98°
Fractional positions:
1 Ce 0.0000 0.0000 0.0000
2 Ta 0.5000 0.5000 0.2637
3 Ta 0.5000 0.5000 0.7363
4 Ti 0.0000 0.0000 0.5000
5 O 0.2085 0.2085 0.2822
6 O 0.2085 0.2085 0.7178
7 O 0.3014 0.6986 0.5000
8 O 0.3264 0.6736 0.0000
9 O 0.6736 0.3264 0.0000
10 O 0.6986 0.3014 0.5000
11 O 0.7915 0.7915 0.2822
12 O 0.7915 0.7915 0.7178

Output
Density of states at the Fermi level ... 7.9 states/eV per cell
Formation energy from raw total energies ... -2916 meV/atom
Symmetry ... Cmmm (65)